DFT (GGA-PBE) results for a relaxed structure of Li4LaMgIn2.

```
Li4LaMgIn2
1.0
2.4763 1.4297 7.9828
-2.4763 1.4297 7.9828
0.0000 -2.8594 7.9828
Li La Mg In
4 1 1 2
direct
0.1141 0.1141 0.1141 Li
0.3663 0.3663 0.3663 Li
0.6337 0.6337 0.6337 Li
0.8859 0.8859 0.8859 Li
0.5000 0.5000 0.5000 La
0.0000 0.0000 0.0000 Mg
0.2462 0.2462 0.2462 In
0.7538 0.7538 0.7538 In
```

Output
- density of states at the Fermi level (states/eV per atom) = 0.35
- DFT formation energy (eV per atom) = -0.230
- crystal system = trigonal
- uncorrected energy (eV per atom) = -2.687